Compound: Ba2ThTlO6
Source: the Alexandria database
Functional: GGA-PBE
Structure: optimized geometry

* symmetry: No. 14
* spin magnetization: 0.99 μB per cell
* E_form (uncorrected): -2341 meV per atom

Structure (POSCAR):
```
Ba2ThTlO6
1.0
-2.7526 1.4186 -5.4921
-5.1943 -3.0600 1.8129
-3.1699 7.5002 3.5772
Ba Th Tl O
4 2 2 12
Direct
0.0085 0.9757 0.2484
0.5085 0.5243 0.7484
0.9915 0.0243 0.7516
0.4915 0.4757 0.2516
0.5000 0.0000 0.0000
0.0000 0.5000 0.5000
0.5000 0.0000 0.5000
0.0000 0.5000 0.0000
0.2763 0.7246 0.0420
0.7763 0.7754 0.5420
0.7237 0.2754 0.9580
0.2237 0.2246 0.4580
0.2766 0.7225 0.4605
0.7766 0.7775 0.9605
0.7234 0.2775 0.5395
0.2234 0.2225 0.0395
0.9255 0.5169 0.2508
0.4255 0.9831 0.7508
0.0745 0.4831 0.7492
0.5745 0.0169 0.2492
```